No. 1
Below is an optimized crystal structure of BeTe, with properties calculated at the PBE level.

abc: 3.361 3.636 15.373
angles: 90.00 90.00 90.00
Space group Imma (No. 74)
Symmetry-distinct sites (fractional):
Be: 0.000 0.250 0.047 [4 per cell]
Te: 0.000 0.250 0.611 [4 per cell]

Summary:
Calculated total energy: -3.07 eV/atom
Energy relative to the lowest polymorph listed for this composition: 727 meV/atom
Formation energy (no corrections): 361 meV/atom


No. 2
Below is an optimized crystal structure of Th2BeTe, with properties calculated at the PBE level.

abc: 4.2295 4.2295 22.0394
angles: 90.00 90.00 120.00
Space group R-3m (No. 166, hexagonal axes)
Symmetry-distinct sites (fractional):
Th: 0.0000 0.0000 0.2361 [6 per cell]
Be: 0.0000 0.0000 0.5000 [3 per cell]
Te: 0.0000 0.0000 0.0000 [3 per cell]

Summary:
Calculated total energy: -5.81 eV/atom
Formation energy (no corrections): -386 meV/atom


No. 3
Below is an optimized crystal structure of ThBeTe2, with properties calculated at the PBE level.

abc: 3.5958 3.5958 28.4857
angles: 90.00 90.00 120.00
Space group R-3m (No. 166, hexagonal axes)
Symmetry-distinct sites (fractional):
Th: 0.0000 0.0000 0.0000 [3 per cell]
Be: 0.0000 0.0000 0.5000 [3 per cell]
Te: 0.0000 0.0000 0.1118 [6 per cell]

Summary:
Calculated total energy: -4.32 eV/atom
Formation energy (no corrections): 35 meV/atom


Q: Which value of formation energy (no corrections) does entry 1 give?
A: 361 meV/atom


Q: Look up the calculated total energy of the first one.
A: -3.07 eV/atom


Repeat the second record exactly.
Below is an optimized crystal structure of Th2BeTe, with properties calculated at the PBE level.

abc: 4.2295 4.2295 22.0394
angles: 90.00 90.00 120.00
Space group R-3m (No. 166, hexagonal axes)
Symmetry-distinct sites (fractional):
Th: 0.0000 0.0000 0.2361 [6 per cell]
Be: 0.0000 0.0000 0.5000 [3 per cell]
Te: 0.0000 0.0000 0.0000 [3 per cell]

Summary:
Calculated total energy: -5.81 eV/atom
Formation energy (no corrections): -386 meV/atom


Q: What is the formation energy (no corrections) in the second record?
A: -386 meV/atom